Below is a relaxed structure of NiTe2Br, with properties calculated at the PBE level.

Summary:
N(E_F) (states/eV/atom): 0.554
Energy relative to the elements, uncorrected (eV per atom): 0.02

CIF file:
```
data_NiTe2Br
_chemical_formula_sum 'Ni4 Te8 Br4'
_symmetry_space_group_name_H-M 'C 1 2/c 1'
_symmetry_Int_Tables_number 15
_cell_length_a 8.3321
_cell_length_b 8.1058
_cell_length_c 7.1356
_cell_angle_alpha 90.00
_cell_angle_beta 120.91
_cell_angle_gamma 90.00
loop_
_symmetry_equiv_pos_as_xyz
'x,y,z'
'-x,-y,-z'
'-x,y,-z+1/2'
'x,-y,z+1/2'
'x+1/2,y+1/2,z'
'-x+1/2,-y+1/2,-z'
'-x+1/2,y+1/2,-z+1/2'
'x+1/2,-y+1/2,z+1/2'
loop_
_atom_site_label
_atom_site_type_symbol
_atom_site_fract_x
_atom_site_fract_y
_atom_site_fract_z
Ni1 Ni 0.0000 0.0915 0.2500
Te1 Te 0.1846 0.1198 0.6536
Br1 Br 0.0000 0.3976 0.7500
```


Below is a relaxed structure of NiTe2Br, with properties calculated at the PBE level.

Summary:
N(E_F) (states/eV/atom): 0.414
Energy relative to the elements, uncorrected (eV per atom): -0.14

CIF file:
```
data_NiTe2Br
_chemical_formula_sum 'Ni4 Te8 Br4'
_symmetry_space_group_name_H-M 'P n a 21'
_symmetry_Int_Tables_number 33
_cell_length_a 6.3881
_cell_length_b 10.9347
_cell_length_c 6.4395
_cell_angle_alpha 90.00
_cell_angle_beta 90.00
_cell_angle_gamma 90.00
loop_
_symmetry_equiv_pos_as_xyz
'x,y,z'
'-x,-y,z+1/2'
'-x+1/2,y+1/2,z+1/2'
'x+1/2,-y+1/2,z'
loop_
_atom_site_label
_atom_site_type_symbol
_atom_site_fract_x
_atom_site_fract_y
_atom_site_fract_z
Ni1 Ni 0.1074 0.1072 0.0000
Te1 Te 0.0366 0.5118 0.5006
Te2 Te 0.2430 0.8017 0.3781
Br1 Br 0.0176 0.0931 0.3774
```


Please write out number 1 again, unchanged.
Below is a relaxed structure of NiTe2Br, with properties calculated at the PBE level.

Summary:
N(E_F) (states/eV/atom): 0.554
Energy relative to the elements, uncorrected (eV per atom): 0.02

CIF file:
```
data_NiTe2Br
_chemical_formula_sum 'Ni4 Te8 Br4'
_symmetry_space_group_name_H-M 'C 1 2/c 1'
_symmetry_Int_Tables_number 15
_cell_length_a 8.3321
_cell_length_b 8.1058
_cell_length_c 7.1356
_cell_angle_alpha 90.00
_cell_angle_beta 120.91
_cell_angle_gamma 90.00
loop_
_symmetry_equiv_pos_as_xyz
'x,y,z'
'-x,-y,-z'
'-x,y,-z+1/2'
'x,-y,z+1/2'
'x+1/2,y+1/2,z'
'-x+1/2,-y+1/2,-z'
'-x+1/2,y+1/2,-z+1/2'
'x+1/2,-y+1/2,z+1/2'
loop_
_atom_site_label
_atom_site_type_symbol
_atom_site_fract_x
_atom_site_fract_y
_atom_site_fract_z
Ni1 Ni 0.0000 0.0915 0.2500
Te1 Te 0.1846 0.1198 0.6536
Br1 Br 0.0000 0.3976 0.7500
```


Among the records above, which one has the lowest N(E_F)?
number 2


Which of these has the highest N(E_F)?
number 1


The highest N(E_F) belongs to which entry?
number 1